Here is Rb2BeOsBr after structural relaxation from Alexandria via LeMat-Bulk. Energies are from PBE.

```
Rb2BeOsBr
1.0
6.469 0.000 0.000
0.000 6.469 0.000
0.000 0.000 4.320
Rb Be Os Br
2 1 1 1
Cartesian
0.000 3.235 0.000
3.235 0.000 0.000
0.000 0.000 0.000
0.000 0.000 2.160
3.235 3.235 2.160
```

Calculated values
* SG: P4/mmm
* energy relative to the elements, uncorrected: 0.4963 eV per atom

Here is KOs3Pb after structural relaxation from Alexandria via LeMat-Bulk. Energies are from PBE.

```
KOs3Pb
1.0
4.745 0.000 0.000
0.000 4.745 0.000
0.000 0.000 4.745
K Os Pb
1 3 1
Cartesian
0.000 0.000 0.000
0.000 0.000 2.372
0.000 2.372 0.000
2.372 0.000 0.000
2.372 2.372 2.372
```

Calculated values
* energy above the most stable polymorph in this dataset: 850.8 meV per atom
* SG: Pm-3m
* calculated formation energy: 3.632 eV per atom

Here is Li2TaCo after structural relaxation from Alexandria via LeMat-Bulk. Energies are from PBE.

```
Li2TaCo
1.0
1.493 -2.139 0.000
1.493 2.139 0.000
0.000 0.000 9.405
Li Ta Co
2 1 1
Cartesian
0.000 0.000 2.102
0.000 0.000 7.303
1.493 0.000 4.702
1.493 0.000 0.000
```

Calculated values
* energy above the most stable polymorph in this dataset: 178.5 meV per atom
* SG: Cmmm
* calculated formation energy: 0.343 eV per atom

Here is CaAs2Pb after structural relaxation from Alexandria via LeMat-Bulk. Energies are from PBE.

```
CaAs2Pb
1.0
3.998 0.000 0.000
0.000 4.014 0.000
-0.663 0.000 6.329
Ca As Pb
1 2 1
Cartesian
0.000 0.000 0.000
1.414 2.007 5.041
1.921 2.007 1.288
-0.331 0.000 3.164
```

Calculated values
* SG: P2/m
* calculated formation energy: -0.419 eV per atom

How do the records compare in electronic total energy? In the order shown, they have -16.08; -20.33; -21.41; -16.68 eV for the cell shown.
How do the records compare in DOS at the Fermi energy? In the order shown, they have 2.510; 10.288; 2.592; 1.812 states/eV/cell.